Here is a geometry-optimized SrNiRuO6 structure from the Alexandria database. Energies are from PBE with a Hubbard U.

Output
* total moment: 2.00 μB per formula unit
* SG: C2
* DOS(E_F): 3.212 states/eV/f.u.
* E: -54.1 eV per cell

a = 5.2188 Å, b = 5.2182 Å, c = 5.3363 Å
α = 91.00°, β = 88.98°, γ = 58.01°
Last column: nearest neighbours and their distance in Å.
Positions (direct):
Sr 0.0078 0.0081 0.0000  6 O 2.49-2.59
Ni 0.6688 0.6688 0.5000  6 O 1.87-2.04
Ru 0.3416 0.3418 0.5000  6 O 1.86-2.00
O 0.0016 0.3782 0.3052  1 Ni 1.87, 1 Ru 1.99
O 0.3782 0.0016 0.6949  1 Ni 1.87, 1 Ru 2.00
O 0.6133 0.3731 0.7010  1 Ru 1.87, 1 Ni 2.03
O 0.0102 0.6050 0.7071  1 Ru 1.86, 1 Ni 1.99
O 0.3730 0.6133 0.2988  1 Ru 1.87, 1 Ni 2.04
O 0.6050 0.0102 0.2929  1 Ru 1.86, 1 Ni 1.99